Record 1
First-principles (GGA-PBE) data for an optimized crystal structure of LaDy2Er5Th, as listed in the Alexandria database.

a b c (Å): 9.7925 9.7925 9.7925
angles (deg): 127.39 127.39 77.62
Last column: nearest neighbours and their distance in Å.
Sites, in units of the cell vectors:
La1 0.2500 0.7500 0.5000  4 Er 3.09
La2 0.7500 0.2500 0.5000  4 Er 3.09
Dy1 0.1162 0.6162 0.7324  1 Dy 2.85, 2 Er 2.99
Dy2 0.3838 0.1162 0.5000  1 Dy 2.85, 2 Er 2.99
Dy3 0.6162 0.8838 0.5000  1 Dy 2.85, 2 Er 2.99
Dy4 0.8838 0.3838 0.2676  1 Dy 2.85, 2 Er 2.99
Er1 0.0000 0.0000 0.0000  4 Dy 3.48, 8 Er 3.73, 2 Th 3.82
Er2 0.0717 0.1583 0.5000  1 Dy 2.99, 1 La 3.09
Er3 0.1583 0.6583 0.0866  1 Dy 2.99, 1 La 3.09
Er4 0.3417 0.4283 0.5000  1 Dy 2.99, 1 La 3.09
Er5 0.4283 0.9283 0.0866  1 Dy 2.99, 1 La 3.09
Er6 0.5000 0.5000 0.0000  4 Dy 3.48, 8 Er 3.73, 2 Th 3.82
Er7 0.5717 0.0717 0.9134  1 Dy 2.99, 1 La 3.09
Er8 0.6583 0.5717 0.5000  1 Dy 2.99, 1 La 3.09
Er9 0.8417 0.3417 0.9134  1 Dy 2.99, 1 La 3.09
Er10 0.9283 0.8417 0.5000  1 Dy 2.99, 1 La 3.09
Th1 0.2500 0.2500 0.0000  10 Er 3.58-3.82
Th2 0.7500 0.7500 0.0000  10 Er 3.58-3.82

Properties
ΔE_f   0.301 eV per atom
Density of states at the Fermi level   1.2161 states/eV per atom

***

Record 2
First-principles (GGA-PBE) data for an optimized crystal structure of Te2IrBr, as listed in the Alexandria database.

a b c (Å): 5.0066 5.0066 5.0066
angles (deg): 111.07 111.07 106.33
Last column: nearest neighbours and their distance in Å.
Sites, in units of the cell vectors:
Te1 0.0000 0.5000 0.5000  2 Br 2.83, 2 Ir 2.83, 2 Te 3.00
Te2 0.5000 0.0000 0.5000  2 Br 2.83, 2 Ir 2.83, 2 Te 3.00
Ir1 0.0000 0.0000 0.0000  4 Te 2.83, 2 Br 3.00
Br1 0.5000 0.5000 0.0000  4 Te 2.83, 2 Ir 3.00

Properties
Formation energy (no corrections)   2.16 eV/f.u.
Density of states at the Fermi level   0.3984 states/eV per atom
Polymorph energy (0 for the lowest one)   803 meV/atom

***

Record 3
First-principles (GGA-PBE) data for an optimized crystal structure of Cd3GaH, as listed in the Alexandria database.

a b c (Å): 5.1493 5.1493 5.1493
angles (deg): 90.00 90.00 90.00
Last column: nearest neighbours and their distance in Å.
Sites, in units of the cell vectors:
Cd1 0.0000 0.0000 0.5000  2 Ga 2.57
Cd2 0.0000 0.5000 0.0000  2 Ga 2.57
Cd3 0.5000 0.0000 0.0000  2 Ga 2.57
Ga1 0.0000 0.0000 0.0000  6 Cd 2.57
H1 0.5000 0.5000 0.5000  12 Cd 3.64

Properties
Density of states at the Fermi level   0.0969 states/eV per atom
Polymorph energy (0 for the lowest one)   262 meV/atom

***

Record 4
First-principles (GGA-PBE) data for an optimized crystal structure of ScI2Cl, as listed in the Alexandria database.

a b c (Å): 8.0064 8.0064 8.0064
angles (deg): 95.61 95.61 143.55
Last column: nearest neighbours and their distance in Å.
Sites, in units of the cell vectors:
Sc1 0.0000 0.0000 0.0000  2 Cl 2.50
Sc2 0.7500 0.2500 0.5000  2 Cl 2.50
I1 0.3750 0.2197 0.3447  2 Sc 2.94
I2 0.7803 0.1250 0.1553  2 Sc 2.94
I3 0.8750 0.0303 0.6553  2 Sc 2.94
I4 0.9697 0.6250 0.8447  2 Sc 2.94
Cl1 0.2500 0.7500 0.5000  2 Sc 2.50
Cl2 0.5000 0.5000 0.0000  2 Sc 2.50

Properties
Formation energy (no corrections)   -5.23 eV/f.u.
Density of states at the Fermi level   0.0000 states/eV per atom
Polymorph energy (0 for the lowest one)   181 meV/atom

***

Record 5
First-principles (GGA-PBE) data for an optimized crystal structure of YCr2Mo, as listed in the Alexandria database.

a b c (Å): 5.3847 5.3847 5.3847
angles (deg): 146.99 127.75 63.21
Last column: nearest neighbours and their distance in Å.
Sites, in units of the cell vectors:
Y1 0.0000 0.0000 0.0000  8 Cr 2.83-3.14, 4 Mo 2.95-3.14, 2 Y 3.06
Cr1 0.2749 0.7749 0.5000  2 Cr 2.43
Cr2 0.4803 0.4803 0.0000  2 Cr 2.43, 2 Mo 2.72
Mo1 0.7249 0.2249 0.5000  6 Cr 2.72-2.86, 2 Y 2.95

Properties
ΔE_f   0.531 eV per atom
Density of states at the Fermi level   1.1533 states/eV per atom
Polymorph energy (0 for the lowest one)   176 meV/atom

***

Record 6
First-principles (GGA-PBE) data for an optimized crystal structure of CrPbS2Cl, as listed in the Alexandria database.

a b c (Å): 5.1637 5.1637 5.1655
angles (deg): 90.00 90.00 90.00
Last column: nearest neighbours and their distance in Å.
Sites, in units of the cell vectors:
Cr1 0.0000 0.0000 0.0000  4 Cl 3.65, 8 S 3.65
Pb1 0.5000 0.5000 0.5000  4 S 2.58, 2 Cl 2.58
S1 0.0000 0.5000 0.5000  2 Pb 2.58
S2 0.5000 0.0000 0.5000  2 Pb 2.58
Cl1 0.5000 0.5000 0.0000  2 Pb 2.58

Properties
Formation energy (no corrections)   2.32 eV/f.u.
Density of states at the Fermi level   1.0152 states/eV per atom
Polymorph energy (0 for the lowest one)   921 meV/atom

***

Record 7
First-principles (GGA-PBE) data for an optimized crystal structure of Tb2Ga2Cu3, as listed in the Alexandria database.

a b c (Å): 5.5517 5.5517 6.4864
angles (deg): 111.35 111.35 43.98
Last column: nearest neighbours and their distance in Å.
Sites, in units of the cell vectors:
Tb1 0.1431 0.1431 0.2609  6 Cu 2.93-3.27, 4 Ga 2.99-3.08
Tb2 0.8569 0.8569 0.7391  6 Cu 2.93-3.27, 4 Ga 2.99-3.08
Ga1 0.1475 0.1475 0.7379  5 Cu 2.54-2.68
Ga2 0.8525 0.8525 0.2621  5 Cu 2.54-2.68
Cu1 0.4014 0.4014 0.0785  2 Cu 2.52-2.61, 3 Ga 2.54-2.68
Cu2 0.5000 0.5000 0.5000  2 Cu 2.52, 4 Ga 2.68
Cu3 0.5986 0.5986 0.9215  2 Cu 2.52-2.61, 3 Ga 2.54-2.68

Properties
ΔE_f   -0.415 eV per atom
Density of states at the Fermi level   0.4881 states/eV per atom

***

Record 8
First-principles (GGA-PBE) data for an optimized crystal structure of BaTcPt2, as listed in the Alexandria database.

a b c (Å): 5.2696 5.2696 2.9564
angles (deg): 90.00 90.00 90.00
Last column: nearest neighbours and their distance in Å.
Sites, in units of the cell vectors:
Ba1 0.0000 0.0000 0.0000  2 Ba 2.96, 8 Pt 3.02
Tc1 0.5000 0.5000 0.0000  2 Tc 2.96, 8 Pt 3.02
Pt1 0.0000 0.5000 0.5000  2 Pt 2.96, 4 Tc 3.02, 4 Ba 3.02
Pt2 0.5000 0.0000 0.5000  2 Pt 2.96, 4 Tc 3.02, 4 Ba 3.02

Properties
ΔE_f   0.331 eV per atom
Density of states at the Fermi level   0.5883 states/eV per atom
Polymorph energy (0 for the lowest one)   538 meV/atom

***

Record 9
First-principles (GGA-PBE) data for an optimized crystal structure of Sm6Tm5Th, as listed in the Alexandria database.

a b c (Å): 9.4301 9.4301 9.4301
angles (deg): 148.85 115.48 73.37
Last column: nearest neighbours and their distance in Å.
Sites, in units of the cell vectors:
Sm1 0.0857 0.3352 0.7505  7 Tm 3.54-3.60, 1 Th 3.54, 4 Sm 3.55-3.61
Sm2 0.2488 0.0000 0.2488  6 Tm 3.53-3.58, 4 Sm 3.55, 2 Th 3.56
Sm3 0.4152 0.6648 0.7505  7 Tm 3.54-3.60, 1 Th 3.54, 4 Sm 3.55-3.61
Sm4 0.5848 0.3352 0.2495  7 Tm 3.54-3.60, 1 Th 3.54, 4 Sm 3.55-3.61
Sm5 0.7512 0.0000 0.7512  6 Tm 3.53-3.58, 4 Sm 3.55, 2 Th 3.56
Sm6 0.9143 0.6648 0.2495  7 Tm 3.54-3.60, 1 Th 3.54, 4 Sm 3.55-3.61
Tm1 0.1647 0.1647 0.0000  8 Sm 3.53-3.60, 2 Th 3.55, 2 Tm 3.58
Tm2 0.3320 0.8320 0.5000  8 Sm 3.57-3.58, 4 Tm 3.58-3.59
Tm3 0.5000 0.5000 0.0000  8 Sm 3.54-3.58, 4 Tm 3.59
Tm4 0.6680 0.1680 0.5000  8 Sm 3.57-3.58, 4 Tm 3.58-3.59
Tm5 0.8353 0.8353 0.0000  8 Sm 3.53-3.60, 2 Th 3.55, 2 Tm 3.58
Th1 0.0000 0.5000 0.5000  8 Sm 3.54-3.56, 4 Tm 3.55

Properties
ΔE_f   0.031 eV per atom
Density of states at the Fermi level   1.4551 states/eV per atom

***

Record 10
First-principles (GGA-PBE) data for an optimized crystal structure of PaGeBi2, as listed in the Alexandria database.

a b c (Å): 4.5744 4.5744 4.9794
angles (deg): 90.00 90.00 90.00
Last column: nearest neighbours and their distance in Å.
Sites, in units of the cell vectors:
Pa1 0.0000 0.0000 0.0000  4 Ge 3.23, 8 Bi 3.38
Ge1 0.5000 0.5000 0.0000  4 Pa 3.23, 8 Bi 3.38
Bi1 0.0000 0.5000 0.5000  4 Bi 3.23, 4 Ge 3.38, 4 Pa 3.38
Bi2 0.5000 0.0000 0.5000  4 Bi 3.23, 4 Ge 3.38, 4 Pa 3.38

Properties
ΔE_f   -0.118 eV per atom
Density of states at the Fermi level   0.8604 states/eV per atom
Polymorph energy (0 for the lowest one)   0 meV/atom

***

Record 11
First-principles (GGA-PBE) data for an optimized crystal structure of GaSb3Ir, as listed in the Alexandria database.

a b c (Å): 5.0952 5.0952 5.0952
angles (deg): 90.00 90.00 90.00
Last column: nearest neighbours and their distance in Å.
Sites, in units of the cell vectors:
Ga1 0.0000 0.0000 0.0000  6 Sb 2.55
Sb1 0.0000 0.0000 0.5000  2 Ga 2.55
Sb2 0.0000 0.5000 0.0000  2 Ga 2.55
Sb3 0.5000 0.0000 0.0000  2 Ga 2.55
Ir1 0.5000 0.5000 0.5000  12 Sb 3.60

Properties
Formation energy (no corrections)   6.12 eV/f.u.
Density of states at the Fermi level   0.8115 states/eV per atom
Polymorph energy (0 for the lowest one)   709 meV/atom

***

Record 12
First-principles (GGA-PBE) data for an optimized crystal structure of Dy4AgHgRh2, as listed in the Alexandria database.

a b c (Å): 8.7143 8.7143 8.7143
angles (deg): 33.41 33.41 33.41
Last column: nearest neighbours and their distance in Å.
Sites, in units of the cell vectors:
Dy1 0.1230 0.1230 0.1230  1 Ag 3.03, 4 Rh 3.07-3.18, 3 Hg 3.09
Dy2 0.3737 0.3737 0.3737  4 Rh 3.01-3.07, 3 Ag 3.06, 1 Hg 3.12
Dy3 0.6263 0.6263 0.6263  4 Rh 3.01-3.07, 3 Ag 3.06, 1 Hg 3.12
Dy4 0.8770 0.8770 0.8770  1 Ag 3.03, 4 Rh 3.07-3.18, 3 Hg 3.09
Ag1 0.0000 0.0000 0.0000  8 Dy 3.03-3.06
Hg1 0.5000 0.5000 0.5000  8 Dy 3.09-3.12
Rh1 0.2518 0.2518 0.2518  8 Dy 3.01-3.18
Rh2 0.7482 0.7482 0.7482  8 Dy 3.01-3.18

Properties
ΔE_f   -0.598 eV per atom
Density of states at the Fermi level   0.5793 states/eV per atom

***

Let's list calculated total energy in order: -4.6283, -3.6654, -1.2592, -4.1283, -8.6049, -4.2236, -4.3580, -5.7614, -4.8100, -5.5870, -3.6275, -5.1315 eV per atom.